This record from OQMD via LeMat-Bulk describes a geometry-optimized TlCoO3 structure. The functional is PBE with a Hubbard U.

Summary:
* M_tot: 0.00 μB/f.u.
* electronic total energy: -50.87 eV for the cell shown
* symmetry: I4/mcm

Geometry as POSCAR:
```
TlCoO3
1.0
-1.999 -4.406 2.171
-4.934 1.915 -0.333
3.112 -0.253 -4.286
O Tl Co
6 2 2
direct
0.679 0.821 0.500 O
0.821 0.321 0.143 O
0.750 0.750 0.000 O
0.179 0.679 0.857 O
0.321 0.179 0.500 O
0.250 0.250 0.000 O
0.250 0.750 0.500 Tl
0.750 0.250 0.500 Tl
0.500 0.500 0.000 Co
0.000 0.000 0.000 Co
```